# 1
A plane-wave DFT calculation with PBEsol was carried out for a relaxed structure of Co3Mo4.

a b c (Å): 4.7016 4.7016 4.7206
angles (deg): 90.00 90.00 120.00
Sites, in units of the cell vectors:
Co  0.0000  0.5000  0.0000
Co  0.5000  0.0000  0.0000
Co  0.5000  0.5000  0.0000
Mo  0.0000  0.0000  0.2549
Mo  0.0000  0.0000  0.7451
Mo  0.3333  0.6667  0.5000
Mo  0.6667  0.3333  0.5000

Results
crystal system: hexagonal
ΔH_f (0 K): -1.6 kJ per mole of atoms
calculated total energy: -70.4 eV for the cell shown
space-group type: P6/mmm

---

# 2
A plane-wave DFT calculation with PBEsol was carried out for a relaxed structure of CoMo.

a b c (Å): 2.6090 2.6090 3.6561
angles (deg): 90.00 90.00 90.00
Sites, in units of the cell vectors:
Co  0.0000  0.0000  0.0000
Mo  0.5000  0.5000  0.5000

Results
crystal system: tetragonal
ΔH_f (0 K): -0.1 kJ per mole of atoms
calculated total energy: -19.5 eV for the cell shown
space-group type: P4/mmm

---

# 3
A plane-wave DFT calculation with PBEsol was carried out for a relaxed structure of CoMo.

a b c (Å): 8.7032 8.7032 8.7032
angles (deg): 17.48 17.48 17.48
Sites, in units of the cell vectors:
Co  0.1293  0.1293  0.1293
Co  0.8707  0.8707  0.8707
Mo  0.3819  0.3819  0.3819
Mo  0.6181  0.6181  0.6181

Results
crystal system: trigonal
ΔH_f (0 K): 29.5 kJ per mole of atoms
calculated total energy: -37.8 eV for the cell shown
space-group type: R-3m

---

# 4
A plane-wave DFT calculation with PBEsol was carried out for a relaxed structure of CoMo.

a b c (Å): 3.6793 3.6793 3.6793
angles (deg): 60.00 60.00 60.00
Sites, in units of the cell vectors:
Co  0.0000  0.0000  0.0000
Mo  0.7500  0.7500  0.7500

Results
crystal system: cubic
ΔH_f (0 K): 142.5 kJ per mole of atoms
calculated total energy: -16.6 eV for the cell shown
space-group type: F-43m

---

# 5
A plane-wave DFT calculation with PBEsol was carried out for a relaxed structure of Co3Mo2.

a b c (Å): 10.5527 10.5527 10.5527
angles (deg): 14.25 14.25 14.25
Sites, in units of the cell vectors:
Co  0.0000  0.0000  0.0000
Co  0.1970  0.1970  0.1970
Co  0.8030  0.8030  0.8030
Mo  0.4014  0.4014  0.4014
Mo  0.5986  0.5986  0.5986

Results
crystal system: trigonal
ΔH_f (0 K): 24.3 kJ per mole of atoms
calculated total energy: -45.5 eV for the cell shown
space-group type: R-3m

---

# 6
A plane-wave DFT calculation with PBEsol was carried out for a relaxed structure of CoMo3N.

a b c (Å): 4.0020 4.0020 4.0020
angles (deg): 90.00 90.00 90.00
Sites, in units of the cell vectors:
Co  0.0000  0.0000  0.0000
Mo  0.0000  0.5000  0.5000
Mo  0.5000  0.0000  0.5000
Mo  0.5000  0.5000  0.0000
N  0.5000  0.5000  0.5000

Results
crystal system: cubic
calculated total energy: -52.0 eV for the cell shown
space-group type: Pm-3m